Arrangement P

Density functional theory data (GGA-PBE) for a relaxed TbPr3Tm2 crystal.

The structure in extended XYZ format:
```
6
Lattice="-1.004 0.279 -3.346 -4.264 -4.053 0.941 -3.621 9.041 3.676" Properties=species:S:1:pos:R:3 pbc="T T T"
Tm -4.538 5.191 1.795
Tb 0.000 0.000 0.000
Pr -2.132 -2.026 0.471
Pr -2.365 2.705 0.935
Tm -4.351 0.077 -0.523
Pr -6.524 2.563 0.336
```

- Magnetic moment: 0.00 μB/cell

Arrangement Q

Density functional theory data (GGA-PBE) for a relaxed TbPr3Tm2 crystal.

The structure in extended XYZ format:
```
12
Lattice="5.664 0.000 0.000 0.000 8.455 -3.257 0.000 -0.256 9.057" Properties=species:S:1:pos:R:3 pbc="T T T"
Pr 5.624 0.720 0.509
Pr 2.792 0.775 5.289
Pr 2.792 7.479 5.291
Pr 2.792 5.246 -1.030
Tm 5.624 2.391 3.632
Pr 5.624 7.423 0.510
Tb 5.624 5.951 4.210
Tb 2.792 2.248 1.590
Tm 2.792 3.978 4.754
Tm 5.624 4.221 1.046
Pr 5.624 2.953 6.830
Tm 2.792 5.808 2.168
```

- Magnetic moment: 0.00 μB/cell

Most stable one: arrangement Q, least stable one: arrangement P.

Arrangement P

Density functional theory data (GGA-PBE) for a relaxed Tb3Pr4Tm crystal.

The structure in extended XYZ format:
```
16
Lattice="-0.748 -6.052 1.721 6.824 -0.058 2.760 -4.161 3.461 10.364" Properties=species:S:1:pos:R:3 pbc="T T T"
Pr -1.689 -2.211 6.655
Tb 2.459 -5.104 5.993
Tm 1.657 -2.219 8.002
Pr 2.472 -0.392 10.977
Tm 2.493 -0.910 1.305
Tb -0.891 -0.333 9.650
Pr 3.764 0.823 7.832
Tb 0.385 0.807 6.480
Pr 5.835 -0.958 2.663
Pr -0.882 -5.106 4.609
Pr 4.528 -2.102 5.858
Tb 0.380 -3.375 11.170
Tb 3.761 -3.964 2.834
Pr -2.988 -3.354 9.853
Tb 1.192 -2.065 4.463
Pr 0.393 -3.890 1.457
```

- Magnetic moment: 0.00 μB/cell

Arrangement Q

Density functional theory data (GGA-PBE) for a relaxed Tb3Pr4Tm crystal.

The structure in extended XYZ format:
```
8
Lattice="-2.810 1.963 -0.775 -3.428 -5.655 -1.897 -0.705 0.559 11.943" Properties=species:S:1:pos:R:3 pbc="T T T"
Pr -3.225 0.397 4.735
Tm -1.405 0.981 -0.387
Tb -1.714 -2.828 -0.948
Pr -5.169 -1.442 7.127
Tb -3.534 -4.611 1.135
Pr -1.773 -1.692 2.145
Pr -3.718 -3.531 4.537
Tb -3.408 1.477 8.137
```

- Magnetic moment: 0.00 μB/cell

Most stable one: arrangement P, least stable one: arrangement Q.

Arrangement P

Density functional theory data (GGA-PBE) for a relaxed Tb5Pr2Tm3 crystal.

The structure in extended XYZ format:
```
20
Lattice="8.381 1.571 -3.903 0.292 8.533 -4.008 -1.721 -1.909 10.837" Properties=species:S:1:pos:R:3 pbc="T T T"
Tb 2.057 0.481 6.163
Tm 5.844 4.624 -2.110
Pr 2.851 5.570 3.341
Tm 1.109 3.571 5.035
Pr 1.698 8.275 -2.082
Tb 6.159 5.142 2.475
Pr 5.254 -0.080 5.008
Tb 3.526 2.112 2.789
Tb -0.547 5.558 2.660
Tb 7.500 2.637 0.266
Tm 0.537 6.861 5.513
Tb 0.793 3.053 0.450
Tm -0.111 6.195 -0.564
Tm 7.064 1.999 3.489
Tb 4.555 3.348 5.495
Tb 3.426 6.083 0.137
Tb 4.896 7.714 -3.238
Tm 6.415 1.334 -2.587
Tb 2.398 4.847 -2.569
Pr 4.101 2.625 -0.415
```

- Magnetic moment: 0.00 μB/cell

Arrangement Q

Density functional theory data (GGA-PBE) for a relaxed Tb5Pr2Tm3 crystal.

The structure in extended XYZ format:
```
20
Lattice="6.787 0.000 0.000 3.394 11.482 2.844 3.394 5.789 10.315" Properties=species:S:1:pos:R:3 pbc="T T T"
Pr 6.787 2.734 0.859
Tb 5.090 12.942 9.861
Tb 6.787 5.971 5.602
Tb 5.090 4.330 3.299
Tb 5.090 8.636 6.580
Tm 1.697 0.000 0.000
Tm 5.090 0.000 0.000
Tm 10.181 12.185 6.326
Tm 6.787 9.333 10.070
Tb 6.787 11.300 7.558
Pr 10.181 15.718 10.752
Tm 6.787 7.938 3.090
Tb 10.181 10.286 8.889
Tb 8.484 4.330 3.299
Tb 3.394 6.985 4.271
Tm 3.394 5.086 6.834
Tb 8.484 12.942 9.861
Pr 3.394 1.553 2.408
Pr 6.787 14.538 12.301
Tb 8.484 8.636 6.580
```

- Magnetic moment: 0.00 μB/cell

Most stable one: arrangement P, least stable one: arrangement Q.